Arrangement one

Computed, not measured: a relaxed Tb2AgGe2 crystal at the GGA-PBE level of DFT.

Lattice parameters (Å, degrees): 10.9641 4.3740 10.3591 90.00 117.62 90.00
Last column: nearest neighbours and their distance in Å.
Space group C2/m (No. 12)
One atom of each set of equivalent atoms:
Tb 0.9996 0.0000 0.1780 (multiplicity 4)  6 Ge 3.00-3.20, 4 Ag 3.14-3.32
Tb 0.1851 0.0000 0.6006 (multiplicity 4)  6 Ge 3.00-3.26, 2 Ag 3.33
Ag 0.2191 0.5000 0.8574 (multiplicity 4)  4 Ge 2.62-2.82
Ge 0.0310 0.5000 0.3899 (multiplicity 4)  1 Ge 2.67, 1 Ag 2.75
Ge 0.1319 0.5000 0.0745 (multiplicity 4)  1 Ge 2.57, 3 Ag 2.62-2.82

=====

Arrangement two

Computed, not measured: a relaxed Tb2AgGe2 crystal at the GGA-PBE level of DFT.

Lattice parameters (Å, degrees): 7.1645 7.1645 8.6013 90.00 90.00 90.00
Last column: nearest neighbours and their distance in Å.
Space group P4/mnc (No. 128)
One atom of each set of equivalent atoms:
Tb 0.1757 0.3243 0.0000 (multiplicity 8)  6 Ge 2.94-3.07
Ag 0.0000 0.0000 0.2496 (multiplicity 4)  4 Ge 2.83
Ge 0.1262 0.6262 0.2500 (multiplicity 8)  1 Ge 2.56, 2 Ag 2.83

=====

It is arrangement two that is most stable; the runner-up trails by 0.033 eV/atom.

=====

Arrangement one

Computed, not measured: a relaxed Tc3AgGe crystal at the GGA-PBE level of DFT.

Lattice parameters (Å, degrees): 4.5472 4.5472 4.5472 90.00 90.00 90.00
Last column: nearest neighbours and their distance in Å.
Space group Pm-3m (No. 221)
One atom of each set of equivalent atoms:
Tc 0.0000 0.0000 0.5000 (multiplicity 3)  2 Ge 2.27
Ag 0.5000 0.5000 0.5000 (multiplicity 1)  12 Tc 3.22
Ge 0.0000 0.0000 0.0000 (multiplicity 1)  6 Tc 2.27

=====

Arrangement two

Computed, not measured: a relaxed Tc3AgGe crystal at the GGA-PBE level of DFT.

Lattice parameters (Å, degrees): 4.8439 4.8439 4.8439 90.00 90.00 90.00
Last column: nearest neighbours and their distance in Å.
Space group Pm-3m (No. 221)
One atom of each set of equivalent atoms:
Tc 0.0000 0.0000 0.5000 (multiplicity 3)  2 Ag 2.42
Ag 0.0000 0.0000 0.0000 (multiplicity 1)  6 Tc 2.42
Ge 0.5000 0.5000 0.5000 (multiplicity 1)  12 Tc 3.43

=====

It is arrangement one that is most stable; the runner-up trails by 1.016 eV/atom.

=====

Arrangement one

Computed, not measured: a relaxed AgGe2Te2 crystal at the GGA-PBE level of DFT.

Lattice parameters (Å, degrees): 8.0508 8.0508 3.9803 90.00 90.00 90.00
Last column: nearest neighbours and their distance in Å.
Space group P4/mbm (No. 127)
One atom of each set of equivalent atoms:
Ag 0.0000 0.0000 0.0000 (multiplicity 2)  4 Te 2.94
Ge 0.1332 0.3668 0.5000 (multiplicity 4)  2 Te 2.88, 1 Ge 3.03
Te 0.1845 0.6845 0.0000 (multiplicity 4)  2 Ge 2.88, 2 Ag 2.94

=====

Arrangement two

Computed, not measured: a relaxed AgGe2Te2 crystal at the GGA-PBE level of DFT.

Lattice parameters (Å, degrees): 7.8059 7.8059 4.0668 90.00 90.00 90.00
Last column: nearest neighbours and their distance in Å.
Space group P4/mbm (No. 127)
One atom of each set of equivalent atoms:
Ag 0.0000 0.0000 0.0000 (multiplicity 2)  4 Ge 3.00
Ge 0.1435 0.3565 0.0000 (multiplicity 4)  2 Te 2.84, 2 Ag 3.00, 1 Ge 3.17
Te 0.1767 0.6767 0.5000 (multiplicity 4)  2 Ge 2.84

=====

It is arrangement two that is most stable; the runner-up trails by 0.010 eV/atom.